Entry 1:
VASP calculation (meta-GGA SCAN) on BeTl2Ni at its PBEsol-relaxed geometry.

Cell and atoms, written as POSCAR:
```
BeTl2Ni
1.0
-1.552 2.062 5.618
1.552 -2.062 5.618
1.552 2.062 -5.618
Be Tl Ni
1 2 1
Direct
0.000 0.000 0.000
0.422 0.422 0.000
0.697 0.197 0.500
0.131 0.631 0.500
```

Summary:
symmetry = Imm2, No. 44
DFT formation energy = 349 meV per atom
spin magnetization = 0.000 μB per atom

---

Entry 2:
VASP calculation (meta-GGA SCAN) on BeTl2Ni at its PBEsol-relaxed geometry.

Cell and atoms, written as POSCAR:
```
BeTl2Ni
1.0
-1.938 1.938 4.550
1.938 -1.938 4.550
1.938 1.938 -4.550
Be Tl Ni
1 2 1
Direct
0.000 0.000 0.000
0.250 0.750 0.500
0.500 0.500 0.000
0.750 0.250 0.500
```

Summary:
symmetry = I-4m2, No. 119
DFT formation energy = 638 meV per atom
spin magnetization = 0.000 μB per atom

---

Entry 3:
VASP calculation (meta-GGA SCAN) on BeTl2Ni at its PBEsol-relaxed geometry.

Cell and atoms, written as POSCAR:
```
BeTl2Ni
1.0
3.163 0.000 0.000
0.000 4.188 0.000
0.000 0.000 5.208
Be Tl Ni
1 2 1
Direct
0.000 0.000 0.000
0.500 0.000 0.500
0.500 0.500 0.000
0.000 0.500 0.500
```

Summary:
symmetry = Pmmm, No. 47
DFT formation energy = 584 meV per atom
spin magnetization = 0.000 μB per atom

---

Entry 4:
VASP calculation (meta-GGA SCAN) on BeNi6W at its PBEsol-relaxed geometry.

Cell and atoms, written as POSCAR:
```
BeNi6W
1.0
3.473 -4.958 0.000
3.473 4.958 0.000
0.000 0.000 9.914
Be Ni W
4 24 4
Direct
0.000 0.000 0.236
0.000 0.000 0.764
0.259 0.741 0.000
0.741 0.259 0.000
0.000 0.000 0.000
0.000 0.000 0.500
0.120 0.371 0.122
0.120 0.371 0.878
0.121 0.368 0.372
0.121 0.368 0.628
0.248 0.752 0.246
0.248 0.752 0.754
0.368 0.121 0.372
0.368 0.121 0.628
0.371 0.120 0.122
0.371 0.120 0.878
0.500 0.500 0.000
0.500 0.500 0.500
0.629 0.880 0.122
0.629 0.880 0.878
0.632 0.879 0.372
0.632 0.879 0.628
0.752 0.248 0.246
0.752 0.248 0.754
0.879 0.632 0.372
0.879 0.632 0.628
0.880 0.629 0.122
0.880 0.629 0.878
0.255 0.745 0.500
0.500 0.500 0.239
0.500 0.500 0.761
0.745 0.255 0.500
```

Summary:
symmetry = Cmmm, No. 65
DFT formation energy = -127 meV per atom
spin magnetization = 0.000 μB per atom

---

Entry 5:
VASP calculation (meta-GGA SCAN) on BeNiW2 at its PBEsol-relaxed geometry.

Cell and atoms, written as POSCAR:
```
BeNiW2
1.0
4.654 -1.308 0.000
4.654 1.308 0.000
-1.558 0.000 4.083
Be Ni W
1 1 2
Direct
0.000 0.000 0.000
0.305 0.305 0.721
0.540 0.540 0.522
0.747 0.747 0.173
```

Summary:
symmetry = Cm, No. 8
DFT formation energy = 130 meV per atom
spin magnetization = 0.000 μB per atom

---

Entry 6:
VASP calculation (meta-GGA SCAN) on BeNiW2 at its PBEsol-relaxed geometry.

Cell and atoms, written as POSCAR:
```
BeNiW2
1.0
3.750 0.000 0.000
0.000 3.750 0.000
0.000 0.000 3.603
Be Ni W
1 1 2
Direct
0.000 0.000 0.000
0.500 0.500 0.000
0.000 0.500 0.500
0.500 0.000 0.500
```

Summary:
symmetry = P4/mmm, No. 123
DFT formation energy = 155 meV per atom
spin magnetization = 0.000 μB per atom

---

Entry 7:
VASP calculation (meta-GGA SCAN) on BeNiW2 at its PBEsol-relaxed geometry.

Cell and atoms, written as POSCAR:
```
BeNiW2
1.0
0.000 2.976 2.976
2.976 0.000 2.976
2.976 2.976 0.000
Be Ni W
1 1 2
Direct
0.000 0.000 0.000
0.750 0.750 0.750
0.250 0.250 0.250
0.500 0.500 0.500
```

Summary:
symmetry = F-43m, No. 216
DFT formation energy = 287 meV per atom
spin magnetization = 0.000 μB per atom

---

Entry 8:
VASP calculation (meta-GGA SCAN) on BeNiW3 at its PBEsol-relaxed geometry.

Cell and atoms, written as POSCAR:
```
BeNiW3
1.0
4.130 0.000 0.000
0.000 4.130 0.000
0.000 0.000 4.130
Be Ni W
1 1 3
Direct
0.000 0.000 0.000
0.500 0.500 0.500
0.000 0.000 0.500
0.000 0.500 0.000
0.500 0.000 0.000
```

Summary:
symmetry = Pm-3m, No. 221
DFT formation energy = 1033 meV per atom
spin magnetization = 0.000 μB per atom

---

Entry 9:
VASP calculation (meta-GGA SCAN) on YBeNi2 at its PBEsol-relaxed geometry.

Cell and atoms, written as POSCAR:
```
YBeNi2
1.0
1.909 1.102 4.601
-1.909 1.102 4.601
0.000 -2.204 4.601
Y Be Ni
1 1 2
Direct
0.000 0.000 0.000
0.500 0.500 0.500
0.200 0.200 0.200
0.800 0.800 0.800
```

Summary:
symmetry = R-3m, No. 166
DFT formation energy = -416 meV per atom
spin magnetization = 0.000 μB per atom

---

Entry 10:
VASP calculation (meta-GGA SCAN) on YBeNi2 at its PBEsol-relaxed geometry.

Cell and atoms, written as POSCAR:
```
YBeNi2
1.0
3.083 0.000 0.000
0.000 3.083 0.000
0.000 0.000 5.814
Y Be Ni
1 1 2
Direct
0.000 0.000 0.000
0.500 0.500 0.352
0.000 0.000 0.474
0.500 0.500 0.716
```

Summary:
symmetry = P4mm, No. 99
DFT formation energy = -54 meV per atom
spin magnetization = 0.000 μB per atom

---

Entry 11:
VASP calculation (meta-GGA SCAN) on YBe3Ni at its PBEsol-relaxed geometry.

Cell and atoms, written as POSCAR:
```
YBe3Ni
1.0
4.048 0.000 0.000
0.000 4.048 0.000
0.000 0.000 4.048
Y Be Ni
1 3 1
Direct
0.000 0.000 0.000
0.000 0.500 0.500
0.500 0.000 0.500
0.500 0.500 0.000
0.500 0.500 0.500
```

Summary:
symmetry = Pm-3m, No. 221
DFT formation energy = -164 meV per atom
spin magnetization = 0.000 μB per atom

---

Entry 12:
VASP calculation (meta-GGA SCAN) on Be2ZnNi at its PBEsol-relaxed geometry.

Cell and atoms, written as POSCAR:
```
Be2ZnNi
1.0
2.649 0.000 0.000
0.000 2.649 0.000
0.000 0.000 5.538
Be Zn Ni
2 1 1
Direct
0.000 0.000 0.000
0.500 0.500 0.215
0.500 0.500 0.723
0.000 0.000 0.420
```

Summary:
symmetry = P4mm, No. 99
DFT formation energy = -175 meV per atom
spin magnetization = 0.000 μB per atom

---

Entry 13:
VASP calculation (meta-GGA SCAN) on BeZnNi2 at its PBEsol-relaxed geometry.

Cell and atoms, written as POSCAR:
```
BeZnNi2
1.0
3.665 0.000 0.000
0.000 3.665 0.000
0.000 0.000 3.052
Be Zn Ni
1 1 2
Direct
0.000 0.000 0.000
0.500 0.500 0.000
0.000 0.500 0.500
0.500 0.000 0.500
```

Summary:
symmetry = P4/mmm, No. 123
DFT formation energy = -300 meV per atom
spin magnetization = 0.000 μB per atom

---

Entry 14:
VASP calculation (meta-GGA SCAN) on BeZnNi at its PBEsol-relaxed geometry.

Cell and atoms, written as POSCAR:
```
BeZnNi
1.0
2.518 0.000 0.000
-1.259 2.181 0.000
0.000 0.000 5.850
Be Zn Ni
1 1 1
Direct
0.000 0.000 0.000
0.667 0.333 0.358
0.333 0.667 0.714
```

Summary:
symmetry = P3m1, No. 156
DFT formation energy = -78 meV per atom
spin magnetization = 0.000 μB per atom

---

Entry 15:
VASP calculation (meta-GGA SCAN) on BeZnNi2 at its PBEsol-relaxed geometry.

Cell and atoms, written as POSCAR:
```
BeZnNi2
1.0
2.611 -2.991 0.000
2.611 2.991 0.000
0.000 0.000 2.629
Be Zn Ni
1 1 2
Direct
0.000 0.000 0.000
0.500 0.500 0.000
0.000 0.500 0.500
0.500 0.000 0.500
```

Summary:
symmetry = Cmmm, No. 65
DFT formation energy = -293 meV per atom
spin magnetization = 0.000 μB per atom

---

Entry 16:
VASP calculation (meta-GGA SCAN) on BeZnNi2 at its PBEsol-relaxed geometry.

Cell and atoms, written as POSCAR:
```
BeZnNi2
1.0
2.576 0.000 0.000
0.000 2.576 0.000
0.000 0.000 6.057
Be Zn Ni
1 1 2
Direct
0.000 0.000 0.000
0.000 0.000 0.500
0.500 0.500 0.215
0.500 0.500 0.785
```

Summary:
symmetry = P4/mmm, No. 123
DFT formation energy = -390 meV per atom
spin magnetization = 0.000 μB per atom

---

Entry 17:
VASP calculation (meta-GGA SCAN) on BeZnNi2 at its PBEsol-relaxed geometry.

Cell and atoms, written as POSCAR:
```
BeZnNi2
1.0
4.292 -1.289 0.000
4.292 1.289 0.000
-1.458 0.000 3.716
Be Zn Ni
1 1 2
Direct
0.000 0.000 0.000
0.747 0.747 0.339
0.272 0.272 0.862
0.506 0.506 0.522
```

Summary:
symmetry = Cm, No. 8
DFT formation energy = -225 meV per atom
spin magnetization = 0.000 μB per atom

---

Entry 18:
VASP calculation (meta-GGA SCAN) on BeZnNi2 at its PBEsol-relaxed geometry.

Cell and atoms, written as POSCAR:
```
BeZnNi2
1.0
-1.835 1.835 3.039
1.835 -1.835 3.039
1.835 1.835 -3.039
Be Zn Ni
1 1 2
Direct
0.000 0.000 0.000
0.500 0.500 0.000
0.250 0.750 0.500
0.750 0.250 0.500
```

Summary:
symmetry = I4/mmm, No. 139
DFT formation energy = -304 meV per atom
spin magnetization = 0.000 μB per atom

---

Entry 19:
VASP calculation (meta-GGA SCAN) on Be2ZnNi at its PBEsol-relaxed geometry.

Cell and atoms, written as POSCAR:
```
Be2ZnNi
1.0
2.704 0.000 0.000
0.000 2.704 0.000
0.000 0.000 5.321
Be Zn Ni
2 1 1
Direct
0.000 0.000 0.215
0.000 0.000 0.785
0.500 0.500 0.500
0.500 0.500 0.000
```

Summary:
symmetry = P4/mmm, No. 123
DFT formation energy = -291 meV per atom
spin magnetization = 0.000 μB per atom

---

Entry 20:
VASP calculation (meta-GGA SCAN) on Be2ZnNi at its PBEsol-relaxed geometry.

Cell and atoms, written as POSCAR:
```
Be2ZnNi
1.0
-1.505 1.757 3.667
1.505 -1.757 3.667
1.505 1.757 -3.667
Be Zn Ni
2 1 1
Direct
0.000 0.000 0.000
0.755 0.255 0.500
0.499 0.499 0.000
0.239 0.739 0.500
```

Summary:
symmetry = Imm2, No. 44
DFT formation energy = -254 meV per atom
spin magnetization = 0.000 μB per atom